# PBE NaU2O5, relaxed
# energy: -9.02 eV per atom
# spin magnetization: 3.000 μB per formula unit
# N(E_F): 0.888 states/eV per atom
data_NaU2O5
_space_group_name_H-M_alt 'C m c m'
_space_group_IT_number 63
_space_group_name_Hall '-C 2c 2'
_cell_length_a 4.3267
_cell_length_b 11.3423
_cell_length_c 11.1968
_cell_angle_alpha 90.00
_cell_angle_beta 90.00
_cell_angle_gamma 90.00
loop_
_atom_site_label
_atom_site_type_symbol
_atom_site_fract_x
_atom_site_fract_y
_atom_site_fract_z
Na1 Na 0.0000 0.1862 0.2500
U1 U 0.0000 0.1382 0.5652
O1 O 0.0000 0.0486 0.1022
O2 O 0.0000 0.2016 0.7500
O3 O 0.0000 0.3119 0.0488